No. 1
Tl3InAs2 | GGA-PBE | optimized geometry

Structure (POSCAR):
```
Tl3InAs2
1.0
8.569 -2.200 0.000
8.569 2.200 0.000
-6.431 0.000 10.003
Tl In As
6 2 4
Cartesian
-0.572 0.000 2.445 Tl
0.040 0.000 6.358 Tl
-0.177 0.000 9.830 Tl
10.883 0.000 0.172 Tl
10.666 0.000 3.645 Tl
11.278 0.000 7.557 Tl
5.049 0.000 3.332 In
5.657 0.000 6.671 In
-2.786 0.000 8.298 As
3.199 0.000 5.379 As
7.507 0.000 4.624 As
13.492 0.000 1.705 As
```

Magnetization: 0.00 μB per formula unit
Symmetry: No. 12
DFT formation energy: -50 meV/atom

***

No. 2
Pm12Er2Mg | GGA-PBE | optimized geometry

Structure (POSCAR):
```
Pm12Er2Mg
1.0
6.555 0.000 0.000
0.000 6.555 0.000
0.000 0.000 24.879
Pm Er Mg
24 4 2
Cartesian
0.428 3.706 2.690 Pm
0.428 6.127 22.189 Pm
0.540 3.818 14.020 Pm
0.540 6.015 10.859 Pm
1.639 1.639 5.231 Pm
1.639 1.639 8.314 Pm
1.639 1.639 16.565 Pm
1.639 1.639 19.648 Pm
2.737 3.818 10.859 Pm
2.737 6.015 14.020 Pm
2.849 3.706 22.189 Pm
2.849 6.127 2.690 Pm
3.706 0.428 22.189 Pm
3.706 2.849 2.690 Pm
3.818 0.540 10.859 Pm
3.818 2.737 14.020 Pm
4.916 4.916 5.231 Pm
4.916 4.916 8.314 Pm
4.916 4.916 16.565 Pm
4.916 4.916 19.648 Pm
6.015 0.540 14.020 Pm
6.015 2.737 10.859 Pm
6.127 0.428 2.690 Pm
6.127 2.849 22.189 Pm
1.639 4.916 6.671 Er
1.639 4.916 18.208 Er
4.916 1.639 6.671 Er
4.916 1.639 18.208 Er
1.639 4.916 0.000 Mg
4.916 1.639 0.000 Mg
```

Magnetization: 0.00 μB per formula unit
Symmetry: No. 125
DFT formation energy: 300 meV/atom

***

No. 3
ZrCuBr4 | GGA-PBE | optimized geometry

Structure (POSCAR):
```
ZrCuBr4
1.0
0.000 4.265 4.265
4.265 0.000 4.265
4.265 4.265 0.000
Zr Cu Br
1 1 4
Cartesian
0.000 0.000 0.000 Zr
2.133 2.133 2.133 Cu
5.331 3.200 3.200 Br
3.200 5.331 3.200 Br
3.200 3.200 5.331 Br
5.331 5.331 5.331 Br
```

Magnetization: 0.50 μB per formula unit
Symmetry: No. 216

***

No. 4
NbNiHOs2 | GGA-PBE | optimized geometry

Structure (POSCAR):
```
NbNiHOs2
1.0
3.974 0.000 0.000
0.000 3.974 0.000
0.000 0.000 3.774
Nb Ni H Os
1 1 1 2
Cartesian
0.000 0.000 0.000 Nb
1.987 1.987 0.000 Ni
1.987 1.987 1.887 H
0.000 1.987 1.887 Os
1.987 0.000 1.887 Os
```

Magnetization: 0.00 μB per formula unit
Symmetry: No. 123

***

| no. | calculated total energy (eV per atom) | calculated volume (A^3/atom) |
| --- | --- | --- |
| 1 | -3.24 | 31.43 |
| 2 | -4.21 | 35.63 |
| 3 | -2.39 | 25.87 |
| 4 | -8.40 | 11.92 |